(1)
The following is a GGA-PBE calculation of a geometry-optimized BaMg2Pt structure, from the Alexandria database.

Output
**Calculated density**: 4.698 g cm⁻³
**Crystal system**: tetragonal

Cell: 5.5707 5.5707 9.5322 Å, 73.01 73.01 90.00°
With the nearest neighbours (Å) after each atom.
Atoms (fractional coordinates):
Mg: 0.8743 0.1250 0.2500  2 Pt 2.58, 2 Mg 2.79
Mg: 0.8757 0.6250 0.2500  2 Pt 2.58, 2 Mg 2.79
Mg: 0.3750 0.1257 0.7500  2 Pt 2.58, 2 Mg 2.79
Mg: 0.8750 0.1243 0.7500  2 Pt 2.58, 2 Mg 2.79
Ba: 0.5000 0.5000 0.0000  8 Mg 3.79-3.80, 4 Pt 3.94
Ba: 0.2500 0.7500 0.5000  8 Mg 3.79-3.80, 4 Pt 3.94
Pt: 0.0000 0.0000 0.0000  4 Mg 2.58
Pt: 0.7500 0.2500 0.5000  4 Mg 2.58

=====

(2)
The following is a GGA-PBE calculation of a geometry-optimized Tb2Pr5Sm structure, from the Alexandria database.

Output
**Calculated density**: 6.906 g cm⁻³
**Crystal system**: monoclinic

Cell: 10.1689 6.6553 11.0630 Å, 118.07 117.36 90.00°
With the nearest neighbours (Å) after each atom.
Atoms (fractional coordinates):
Tb: 0.1760 0.4758 0.8398  1 Sm 3.16, 1 Tb 3.33, 3 Pr 3.36-3.47
Tb: 0.6638 0.9758 0.8398  1 Sm 3.16, 1 Tb 3.33, 3 Pr 3.36-3.47
Tb: 0.8240 0.5242 0.1602  1 Sm 3.16, 1 Tb 3.33, 3 Pr 3.36-3.47
Tb: 0.3362 0.0242 0.1602  1 Sm 3.16, 1 Tb 3.33, 3 Pr 3.36-3.47
Pr: 0.5001 0.4569 0.8098  4 Tb 3.46-3.69, 1 Sm 3.57, 4 Pr 3.71-3.85
Pr: 0.9417 0.7500 0.0000  4 Tb 3.36-3.60, 2 Pr 3.53
Pr: 0.0583 0.2500 0.0000  4 Tb 3.36-3.60, 2 Pr 3.53
Pr: 0.8830 0.6144 0.5933  1 Tb 3.47, 2 Sm 3.52-3.56, 6 Pr 3.71-3.89
Pr: 0.1170 0.3856 0.4067  1 Tb 3.47, 2 Sm 3.52-3.56, 6 Pr 3.71-3.89
Pr: 0.7103 0.1144 0.5933  1 Tb 3.47, 2 Sm 3.52-3.56, 6 Pr 3.71-3.89
Pr: 0.2897 0.8856 0.4067  1 Tb 3.47, 2 Sm 3.52-3.56, 6 Pr 3.71-3.89
Pr: 0.4999 0.5431 0.1902  4 Tb 3.46-3.69, 1 Sm 3.57, 4 Pr 3.71-3.85
Pr: 0.3097 0.9569 0.8098  4 Tb 3.46-3.69, 1 Sm 3.57, 4 Pr 3.71-3.85
Pr: 0.6903 0.0431 0.1902  4 Tb 3.46-3.69, 1 Sm 3.57, 4 Pr 3.71-3.85
Sm: 0.0000 0.0000 0.5000  2 Tb 3.16, 2 Pr 3.52
Sm: 0.5000 0.5000 0.5000  2 Tb 3.16, 2 Pr 3.52

=====

no.,total magnetic moment (μB/f.u.),VASP energy (Ry per atom),E_form (eV per atom)
1,0.00,-0.2201,-0.2060
2,0.00,-0.3374,0.1442